Entry 1:
A plane-wave DFT calculation with PBE was carried out for a geometry-optimized KCePu2Se4 structure.

Summary:
Energy: -7.66 eV/atom
Uncorrected formation energy: -1.459 eV per atom

abc: 4.207 10.332 7.390
angles: 45.41 90.00 90.00
Fractional positions:
1 Se 0.500 0.774 0.046
2 Ce 0.500 0.500 0.000
3 Se 0.000 0.759 0.584
4 Se 0.500 0.226 0.954
5 Pu 0.000 0.000 0.000
6 Se 0.000 0.241 0.416
7 Pu 0.500 0.000 0.500
8 K 0.000 0.500 0.500

---

Entry 2:
A plane-wave DFT calculation with PBE was carried out for a geometry-optimized Na3VAs3 structure.

Summary:
Energy: -4.20 eV/atom
DFT formation energy: -0.34 eV per atom

abc: 7.723 7.723 7.225
angles: 101.65 101.65 116.53
Fractional positions:
1 As 0.118 0.118 0.835
2 Na 0.607 0.607 0.316
3 Na 0.393 0.393 0.684
4 As 0.882 0.882 0.165
5 As 0.195 0.492 0.335
6 As 0.508 0.805 0.665
7 As 0.805 0.508 0.665
8 Na 0.152 0.848 0.500
9 Na 0.766 0.234 0.000
10 As 0.492 0.195 0.335
11 V 0.815 0.815 0.814
12 V 0.185 0.185 0.186
13 Na 0.848 0.152 0.500
14 Na 0.234 0.766 0.000

---

Entry 3:
A plane-wave DFT calculation with PBE was carried out for a geometry-optimized Be2CrSi structure.

Summary:
Energy: -5.22 eV/atom
Uncorrected formation energy: 0.409 eV per atom

abc: 6.215 6.215 4.952
angles: 51.13 51.13 90.00
Fractional positions:
1 Be 0.615 0.125 0.250
2 Cr 0.750 0.250 0.500
3 Si 0.250 0.750 0.500
4 Si 0.500 0.500 0.000
5 Be 0.375 0.385 0.750
6 Be 0.135 0.625 0.250
7 Be 0.875 0.865 0.750
8 Cr 0.000 0.000 0.000

---

Entry 4:
A plane-wave DFT calculation with PBE was carried out for a geometry-optimized Sm5Tl structure.

Summary:
Energy: -4.43 eV/atom
DFT formation energy: -0.11 eV per atom
Polymorph energy (0 for the lowest one): 0.0000 eV/atom

abc: 4.958 4.943 8.117
angles: 107.72 90.00 90.00
Fractional positions:
1 Sm 0.500 0.834 0.667
2 Sm 0.500 0.166 0.333
3 Sm 0.000 0.662 0.325
4 Sm 0.500 0.500 0.000
5 Sm 0.000 0.338 0.675
6 Tl 0.000 0.000 0.000